# 1
First-principles (GGA-PBE) data for Hf6Al3Hg after structural relaxation, as listed in Alexandria via LeMat-Bulk.

Calculated values
D(E_F)   15.856 states/eV per cell
Total energy   -7.198 eV/atom
DFT formation energy   -73 meV per atom

Cell and atoms, written as POSCAR:
```
Hf6Al3Hg
1.0
-3.633 -3.766 -2.598
-0.443 -4.530 7.186
-6.526 5.235 1.535
Hf Al Hg
12 6 2
Direct
0.101 0.757 0.693
0.601 0.693 0.757
0.264 0.544 0.958
0.764 0.958 0.544
0.386 0.914 0.086
0.613 0.305 0.695
0.113 0.695 0.305
0.886 0.086 0.914
0.264 0.042 0.456
0.764 0.456 0.042
0.101 0.307 0.243
0.601 0.243 0.307
0.413 0.007 0.771
0.913 0.771 0.007
0.331 0.486 0.514
0.831 0.514 0.486
0.913 0.993 0.229
0.413 0.229 0.993
0.096 0.289 0.711
0.596 0.711 0.289
```

=====

# 2
First-principles (GGA-PBE) data for CsLiPb2 after structural relaxation, as listed in Alexandria via LeMat-Bulk.

Calculated values
D(E_F)   0.574 states/eV per cell
Total energy   -2.769 eV/atom
DFT formation energy   -223 meV per atom
Offset from the most stable computed form   0.000 eV/atom

Cell and atoms, written as POSCAR:
```
CsLiPb2
1.0
-0.423 2.696 -4.091
0.425 -2.138 -4.408
-7.140 -1.062 -2.917
Cs Li Pb
1 1 2
Direct
0.498 0.498 0.505
0.678 0.678 0.967
0.033 0.033 0.902
0.291 0.291 0.126
```

=====

# 3
First-principles (GGA-PBE) data for NdScRh after structural relaxation, as listed in Alexandria via LeMat-Bulk.

Calculated values
D(E_F)   7.014 states/eV per cell
Total energy   -6.766 eV/atom
DFT formation energy   -616 meV per atom
Offset from the most stable computed form   0.000 eV/atom

Cell and atoms, written as POSCAR:
```
NdScRh
1.0
0.172 3.344 -2.921
-4.456 0.923 0.795
1.823 4.778 4.707
Nd Sc Rh
2 2 2
Direct
0.804 0.866 0.546
0.323 0.367 0.293
0.823 0.366 0.916
0.304 0.867 0.923
0.762 0.866 0.139
0.365 0.367 0.700
```

=====

# 4
First-principles (GGA-PBE) data for Tb3Y6Ho after structural relaxation, as listed in Alexandria via LeMat-Bulk.

Calculated values
D(E_F)   30.562 states/eV per cell
Total energy   -5.581 eV/atom
DFT formation energy   144 meV per atom
Offset from the most stable computed form   0.030 eV/atom

Cell and atoms, written as POSCAR:
```
Tb3Y6Ho
1.0
-1.285 5.095 -3.415
-4.655 -6.303 -7.652
-6.068 3.971 8.207
Tb Y Ho
6 12 2
Direct
0.455 0.939 0.719
0.955 0.719 0.939
0.070 0.389 0.611
0.570 0.611 0.389
0.955 0.061 0.281
0.455 0.281 0.061
0.040 0.710 0.619
0.540 0.619 0.710
0.361 0.536 0.953
0.861 0.953 0.536
0.404 0.953 0.047
0.652 0.279 0.721
0.152 0.721 0.279
0.904 0.047 0.953
0.361 0.047 0.464
0.861 0.464 0.047
0.040 0.381 0.290
0.540 0.290 0.381
0.147 0.205 0.795
0.647 0.795 0.205
```

=====

# 5
First-principles (GGA-PBE) data for NaTl5Sb after structural relaxation, as listed in Alexandria via LeMat-Bulk.

Calculated values
D(E_F)   6.194 states/eV per cell
Total energy   -2.475 eV/atom

Cell and atoms, written as POSCAR:
```
NaTl5Sb
1.0
2.114 8.151 -3.053
-6.885 -6.661 -2.633
-4.530 -3.198 8.243
Na Tl Sb
2 10 2
Direct
0.000 0.000 0.000
0.500 0.000 0.000
0.639 0.448 0.815
0.115 0.152 0.368
0.139 0.815 0.448
0.250 0.802 0.198
0.385 0.632 0.848
0.615 0.368 0.152
0.750 0.198 0.802
0.861 0.185 0.552
0.885 0.848 0.632
0.361 0.552 0.185
0.250 0.529 0.471
0.750 0.471 0.529
```

=====

# 6
First-principles (GGA-PBE) data for HgPt3O8 after structural relaxation, as listed in Alexandria via LeMat-Bulk.

Calculated values
D(E_F)   11.687 states/eV per cell
Total energy   -5.179 eV/atom

Cell and atoms, written as POSCAR:
```
HgPt3O8
1.0
-5.050 -3.689 0.240
5.631 -2.474 -1.161
1.488 -1.376 10.148
Hg Pt O
2 6 16
Direct
0.667 0.333 0.998
0.333 0.667 0.498
0.833 0.666 0.713
0.334 0.167 0.713
0.833 0.167 0.713
0.167 0.833 0.213
0.666 0.833 0.213
0.167 0.334 0.213
0.849 0.698 0.116
0.520 0.480 0.816
0.667 0.333 0.616
0.000 0.000 0.809
0.000 0.000 0.309
0.302 0.151 0.116
0.960 0.480 0.816
0.520 0.040 0.816
0.151 0.849 0.616
0.849 0.151 0.116
0.480 0.960 0.316
0.040 0.520 0.316
0.333 0.667 0.116
0.698 0.849 0.616
0.480 0.520 0.316
0.151 0.302 0.616
```